[1]
The following is a PBE calculation of crystalline KCdGa at its relaxed geometry, from Alexandria.

```
3
Lattice="4.465 0.000 0.000 0.000 4.921 0.000 0.000 -2.460 4.262" Properties=species:S:1:pos:R:3 pbc="T T T"
K 2.976 0.000 2.841
Ga 0.744 2.460 1.421
Cd 0.744 0.000 0.000
```

Computed properties:
ΔH_f (0 K): -0.001 eV per atom
Energy above the most stable polymorph in this dataset: 66.9 meV per atom

---

[2]
The following is a PBE calculation of crystalline SrSn2Sb2 at its relaxed geometry, from Alexandria.

```
5
Lattice="-3.618 2.674 -0.405 0.256 -0.335 -4.498 -6.387 -5.168 -2.247" Properties=species:S:1:pos:R:3 pbc="T T T"
Sn -3.906 -2.167 -4.598
Sb -2.559 -0.012 -2.413
Sb -7.191 -2.817 -4.737
Sn -5.843 -0.663 -2.552
Sr 0.000 0.000 0.000
```

Computed properties:
Energy relative to the elements, uncorrected: -0.30 eV per atom

---

[3]
The following is a PBE calculation of crystalline PrMg2Rh at its relaxed geometry, from Alexandria.

```
4
Lattice="3.181 0.000 0.000 1.590 2.754 0.000 1.590 0.918 10.470" Properties=species:S:1:pos:R:3 pbc="T T T"
Pr 0.000 0.000 0.000
Mg 1.590 0.918 7.169
Mg 4.771 2.754 3.301
Rh 3.181 1.836 5.235
```

Computed properties:
ΔH_f (0 K): 0.046 eV per atom

---

[4]
The following is a PBE calculation of crystalline Tb4SeS5 at its relaxed geometry, from Alexandria.

```
10
Lattice="-2.060 3.538 -0.127 -2.566 -1.742 -6.943 -4.141 -4.538 6.833" Properties=species:S:1:pos:R:3 pbc="T T T"
Tb -5.006 -2.971 -1.567
Tb -1.897 -1.288 -5.126
S -4.113 -2.545 -4.219
Tb -3.762 0.229 1.330
Tb -6.871 -1.454 4.889
S -4.655 -0.196 3.982
S -2.313 0.898 -3.535
S -2.748 -1.619 -0.535
S -6.019 -1.123 0.298
Se -1.030 1.769 -0.063
```

Computed properties:
Energy above the most stable polymorph in this dataset: 0.0 meV per atom
Energy relative to the elements, uncorrected: -1.99 eV per atom

---

[5]
The following is a PBE calculation of crystalline YInCoAg at its relaxed geometry, from Alexandria.

```
4
Lattice="-4.363 -1.037 1.707 -2.205 -4.042 -1.350 -0.559 -3.590 3.134" Properties=species:S:1:pos:R:3 pbc="T T T"
In -1.782 -2.167 0.873
Y -5.345 -6.502 2.618
Co -3.564 -4.335 1.746
Ag 0.000 0.000 0.000
```

Computed properties:
ΔH_f (0 K): -0.132 eV per atom

---

[6]
The following is a PBE calculation of crystalline PmYAlCo at its relaxed geometry, from Alexandria.

```
4
Lattice="5.040 0.000 0.000 2.520 4.365 0.000 2.520 1.455 4.115" Properties=species:S:1:pos:R:3 pbc="T T T"
Y 7.560 4.365 3.086
Co 0.000 0.000 0.000
Al 5.040 2.910 2.058
Pm 2.520 1.455 1.029
```

Computed properties:
ΔH_f (0 K): -0.153 eV per atom